DFT (PBE) results for an optimized crystal structure of Nd4Tm5Sc2. Values from VASP.

```
&SYSTEM
  ibrav = 0, nat = 11, ntyp = 3
/
ATOMIC_SPECIES
Nd 144.24 Nd.upf
Tm 168.93 Tm.upf
Sc 44.96 Sc.upf
CELL_PARAMETERS angstrom
9.1769 -2.6823 0.0000
9.1769 2.6823 0.0000
-0.7489 0.0000 6.9306
ATOMIC_POSITIONS crystal
Nd 0.0597 0.0597 0.2040
Nd 0.3171 0.3171 0.6202
Nd 0.6829 0.6829 0.3798
Nd 0.9403 0.9403 0.7960
Tm 0.1291 0.1291 0.6980
Tm 0.2492 0.2492 0.1309
Tm 0.5000 0.5000 0.5000
Tm 0.7508 0.7508 0.8691
Tm 0.8709 0.8709 0.3020
Sc 0.4231 0.4231 0.0638
Sc 0.5769 0.5769 0.9362
```

Properties
As for the symmetry: C2/m, No. 12. Its energy relative to the lowest polymorph listed for this composition is 0.0 kJ/mol of atoms. The total energy is -53.28 eV per cell. As for the density of states at the Fermi level: 1.6126 states/eV per atom.